Record 1
SrGa2AgIr | the Alexandria database | PBE | optimized geometry; crystal system = tetragonal; space group = P4/mmm, No. 123; density of states at the Fermi level = 1.86 states/eV/f.u.; formation energy from the elements = -1.6 eV per formula unit; E = -0.155 hartree per atom
1.0
4.764 0.000 0.000
0.000 4.764 0.000
0.000 0.000 5.355
Sr Ga Ag Ir
1 2 1 1
Direct
0.000 0.000 0.000
0.000 0.500 0.500
0.500 0.000 0.500
0.500 0.500 0.000
0.500 0.500 0.500

Record 2
Th4CoAuSe2 | the Alexandria database | PBE | optimized geometry; crystal system = monoclinic; space group = P2/m, No. 10; density of states at the Fermi level = 6.20 states/eV/f.u.; ΔE_f (raw) = -952 meV/atom; E = -0.251 hartree per atom
1.0
7.224 0.000 0.000
0.000 4.136 0.000
-2.318 0.000 7.200
Th Co Au Se
4 1 1 2
Direct
0.226 0.000 0.222
0.231 0.500 0.765
0.769 0.500 0.235
0.774 0.000 0.778
0.000 0.500 0.000
0.500 0.000 0.000
0.000 0.000 0.500
0.500 0.500 0.500